Record 1
First-principles (PBE-GGA) data for a relaxed MoPt3Se crystal, as listed in the Alexandria database. Values from VASP.

Quantum ESPRESSO input file:
```
&SYSTEM
  ibrav = 0, nat = 5, ntyp = 3
/
ATOMIC_SPECIES
Mo 95.94 Mo.upf
Se 78.96 Se.upf
Pt 195.08 Pt.upf
ATOMIC_POSITIONS crystal
Mo 0.0000 0.0000 0.0000
Se 0.5000 0.5000 0.5000
Pt 0.0000 0.5000 0.0000
Pt 0.0000 0.0000 0.5000
Pt 0.5000 0.0000 0.0000
CELL_PARAMETERS angstrom
4.8300 0.0000 0.0000
0.0000 4.8300 0.0000
0.0000 0.0000 4.8300
```

Computed properties:
Its density of states at the Fermi level is 1.12 states/eV per atom. The value obtained for the uncorrected formation energy is 617 kJ/mol of formula units. The calculation puts the energy above the most stable polymorph in this dataset at 1.71 eV/f.u.

Record 2
First-principles (PBE-GGA) data for a relaxed MoPt3Se crystal, as listed in the Alexandria database. Values from VASP.

Quantum ESPRESSO input file:
```
&SYSTEM
  ibrav = 0, nat = 5, ntyp = 3
/
ATOMIC_SPECIES
Mo 95.94 Mo.upf
Se 78.96 Se.upf
Pt 195.08 Pt.upf
ATOMIC_POSITIONS crystal
Mo 0.5000 0.5000 0.5000
Se 0.0000 0.0000 0.0000
Pt 0.0000 0.5000 0.0000
Pt 0.0000 0.0000 0.5000
Pt 0.5000 0.0000 0.0000
CELL_PARAMETERS angstrom
4.6733 0.0000 0.0000
0.0000 4.6733 0.0000
0.0000 0.0000 4.6733
```

Computed properties:
Its density of states at the Fermi level is 0.56 states/eV per atom. The value obtained for the uncorrected formation energy is 451 kJ/mol of formula units. The calculation puts the energy above the most stable polymorph in this dataset at 0.00 eV/f.u.

Record 3
First-principles (PBE-GGA) data for a relaxed MoPt2Se2 crystal, as listed in the Alexandria database. Values from VASP.

Quantum ESPRESSO input file:
```
&SYSTEM
  ibrav = 0, nat = 10, ntyp = 3
/
ATOMIC_SPECIES
Mo 95.94 Mo.upf
Se 78.96 Se.upf
Pt 195.08 Pt.upf
ATOMIC_POSITIONS crystal
Mo 0.0000 0.0000 0.0000
Mo 0.5000 0.5000 0.0000
Se 0.3338 0.8338 0.0000
Se 0.8338 0.6662 0.0000
Se 0.6662 0.1662 0.0000
Se 0.1662 0.3338 0.0000
Pt 0.1487 0.6487 0.5000
Pt 0.6487 0.8513 0.5000
Pt 0.8513 0.3513 0.5000
Pt 0.3513 0.1487 0.5000
CELL_PARAMETERS angstrom
6.9620 0.0000 0.0000
0.0000 6.9620 0.0000
0.0000 0.0000 3.5420
```

Computed properties:
Its density of states at the Fermi level is 0.75 states/eV per atom. The value obtained for the uncorrected formation energy is 139 kJ/mol of formula units. The calculation puts the energy above the most stable polymorph in this dataset at 0.00 eV/f.u.

Record 4
First-principles (PBE-GGA) data for a relaxed MoPtSe4 crystal, as listed in the Alexandria database. Values from VASP.

Quantum ESPRESSO input file:
```
&SYSTEM
  ibrav = 0, nat = 6, ntyp = 3
/
ATOMIC_SPECIES
Mo 95.94 Mo.upf
Pt 195.08 Pt.upf
Se 78.96 Se.upf
ATOMIC_POSITIONS crystal
Mo 0.5022 0.0044 0.5565
Pt 0.0011 0.0021 0.9658
Se 0.8655 0.7317 0.5375
Se 0.1008 0.2011 0.4105
Se 0.3955 0.7913 0.0871
Se 0.6349 0.2692 0.9425
CELL_PARAMETERS angstrom
3.4976 -0.0039 -0.0010
-1.7455 6.6854 -1.7231
0.0012 -0.6437 6.1096
```

Computed properties:
Its density of states at the Fermi level is 0.62 states/eV per atom. The value obtained for the uncorrected formation energy is -179 kJ/mol of formula units. The calculation puts the energy above the most stable polymorph in this dataset at 0.00 eV/f.u.

Record 5
First-principles (PBE-GGA) data for a relaxed MoPt4Se crystal, as listed in the Alexandria database. Values from VASP.

Quantum ESPRESSO input file:
```
&SYSTEM
  ibrav = 0, nat = 6, ntyp = 3
/
ATOMIC_SPECIES
Mo 95.94 Mo.upf
Pt 195.08 Pt.upf
Se 78.96 Se.upf
ATOMIC_POSITIONS crystal
Mo 0.0000 0.0000 0.0000
Pt 0.8763 0.3746 0.3746
Pt 0.3746 0.3746 0.8763
Pt 0.3746 0.8763 0.3746
Pt 0.3746 0.3746 0.3746
Se 0.7500 0.7500 0.7500
CELL_PARAMETERS angstrom
0.0000 3.7317 3.7317
3.7317 0.0000 3.7317
3.7317 3.7317 0.0000
```

Computed properties:
Its density of states at the Fermi level is 0.89 states/eV per atom. The value obtained for the uncorrected formation energy is 229 kJ/mol of formula units.

Record 6
First-principles (PBE-GGA) data for a relaxed MoPtSe3 crystal, as listed in the Alexandria database. Values from VASP.

Quantum ESPRESSO input file:
```
&SYSTEM
  ibrav = 0, nat = 5, ntyp = 3
/
ATOMIC_SPECIES
Mo 95.94 Mo.upf
Se 78.96 Se.upf
Pt 195.08 Pt.upf
ATOMIC_POSITIONS crystal
Mo 0.0000 0.0000 0.0000
Se 0.0000 0.5000 0.0000
Se 0.0000 0.0000 0.5000
Se 0.5000 0.0000 0.0000
Pt 0.5000 0.5000 0.5000
CELL_PARAMETERS angstrom
4.8686 0.0000 0.0000
0.0000 4.8686 0.0000
0.0000 0.0000 4.8686
```

Computed properties:
Its density of states at the Fermi level is 1.50 states/eV per atom. The value obtained for the uncorrected formation energy is 342 kJ/mol of formula units. The calculation puts the energy above the most stable polymorph in this dataset at 0.00 eV/f.u.

Record 7
First-principles (PBE-GGA) data for a relaxed TaMo2PtSe crystal, as listed in the Alexandria database. Values from VASP.

Quantum ESPRESSO input file:
```
&SYSTEM
  ibrav = 0, nat = 5, ntyp = 4
/
ATOMIC_SPECIES
Mo 95.94 Mo.upf
Se 78.96 Se.upf
Pt 195.08 Pt.upf
Ta 180.95 Ta.upf
ATOMIC_POSITIONS crystal
Mo 0.0000 0.5000 0.0000
Mo 0.5000 0.0000 0.0000
Se 0.0000 0.0000 0.5000
Pt 0.5000 0.5000 0.5000
Ta 0.0000 0.0000 0.0000
CELL_PARAMETERS angstrom
-4.4902 1.5279 0.8762
-1.6256 -4.5187 -0.4509
0.6684 -0.7049 4.6543
```

Computed properties:
Its density of states at the Fermi level is 1.34 states/eV per atom. The value obtained for the uncorrected formation energy is 806 kJ/mol of formula units.

Record 8
First-principles (PBE-GGA) data for a relaxed TcMo2PtSe crystal, as listed in the Alexandria database. Values from VASP.

Quantum ESPRESSO input file:
```
&SYSTEM
  ibrav = 0, nat = 5, ntyp = 4
/
ATOMIC_SPECIES
Mo 95.94 Mo.upf
Se 78.96 Se.upf
Tc 98.00 Tc.upf
Pt 195.08 Pt.upf
ATOMIC_POSITIONS crystal
Mo 0.0000 0.0000 0.5000
Mo 0.5000 0.0000 0.0000
Se 0.0000 0.0000 0.0000
Tc 0.5000 0.5000 0.5000
Pt 0.0000 0.5000 0.0000
CELL_PARAMETERS angstrom
-3.2220 2.8046 1.7046
-1.8473 0.4225 -4.1868
-2.7117 -3.6205 0.8312
```

Computed properties:
Its density of states at the Fermi level is 1.19 states/eV per atom. The value obtained for the uncorrected formation energy is 637 kJ/mol of formula units.